## Ce2ErSc (PBE)

Data for crystalline Ce2ErSc at its relaxed geometry.

Results
M_tot, μB per atom: 0.326
Energy of formation, eV per atom: 0.189
Relative energy among the computed polymorphs, meV/atom: 104
Crystal system: cubic

Unit cell a=7.7611 b=7.7611 c=7.7611 alpha=90.00 beta=90.00 gamma=90.00
With the nearest neighbours (Å) after each atom.
Fractional coordinates of all 16 atoms:
Ce 0.2500 0.2500 0.2500  4 Sc 3.36, 4 Er 3.36
Ce 0.2500 0.2500 0.7500  4 Er 3.36, 4 Sc 3.36
Ce 0.2500 0.7500 0.2500  4 Er 3.36, 4 Sc 3.36
Ce 0.2500 0.7500 0.7500  4 Er 3.36, 4 Sc 3.36
Ce 0.7500 0.2500 0.2500  4 Er 3.36, 4 Sc 3.36
Ce 0.7500 0.2500 0.7500  4 Er 3.36, 4 Sc 3.36
Ce 0.7500 0.7500 0.2500  4 Er 3.36, 4 Sc 3.36
Ce 0.7500 0.7500 0.7500  4 Er 3.36, 4 Sc 3.36
Er 0.0000 0.0000 0.0000  8 Ce 3.36
Er 0.0000 0.5000 0.5000  8 Ce 3.36
Er 0.5000 0.0000 0.5000  8 Ce 3.36
Er 0.5000 0.5000 0.0000  8 Ce 3.36
Sc 0.0000 0.0000 0.5000  8 Ce 3.36
Sc 0.0000 0.5000 0.0000  8 Ce 3.36
Sc 0.5000 0.0000 0.0000  8 Ce 3.36
Sc 0.5000 0.5000 0.5000  8 Ce 3.36

---

## Be2NiAg (PBE)

Data for crystalline Be2NiAg at its relaxed geometry.

Results
M_tot, μB per atom: 0.000
Energy of formation, eV per atom: 0.173
Relative energy among the computed polymorphs, meV/atom: 309
Crystal system: cubic

Unit cell a=5.6928 b=5.6928 c=5.6928 alpha=90.00 beta=90.00 gamma=90.00
With the nearest neighbours (Å) after each atom.
Fractional coordinates of all 16 atoms:
Be 0.0000 0.0000 0.0000  4 Ni 2.47, 4 Be 2.47
Be 0.0000 0.5000 0.5000  4 Ni 2.47, 4 Be 2.47
Be 0.2500 0.2500 0.2500  4 Be 2.47, 4 Ag 2.47
Be 0.2500 0.7500 0.7500  4 Ag 2.47, 4 Be 2.47
Be 0.5000 0.0000 0.5000  4 Ni 2.47, 4 Be 2.47
Be 0.5000 0.5000 0.0000  4 Ni 2.47, 4 Be 2.47
Be 0.7500 0.2500 0.7500  4 Ag 2.47, 4 Be 2.47
Be 0.7500 0.7500 0.2500  4 Ag 2.47, 4 Be 2.47
Ni 0.2500 0.2500 0.7500  4 Be 2.47, 4 Ag 2.47
Ni 0.2500 0.7500 0.2500  4 Be 2.47, 4 Ag 2.47
Ni 0.7500 0.2500 0.2500  4 Be 2.47, 4 Ag 2.47
Ni 0.7500 0.7500 0.7500  4 Be 2.47, 4 Ag 2.47
Ag 0.0000 0.0000 0.5000  4 Ni 2.47, 4 Be 2.47
Ag 0.0000 0.5000 0.0000  4 Ni 2.47, 4 Be 2.47
Ag 0.5000 0.0000 0.0000  4 Ni 2.47, 4 Be 2.47
Ag 0.5000 0.5000 0.5000  4 Ni 2.47, 4 Be 2.47

---

## Tl2CdCl (PBE)

Data for crystalline Tl2CdCl at its relaxed geometry.

Results
E_form (uncorrected), eV per atom: -0.385
M_tot, μB per atom: 0.000
Relative energy among the computed polymorphs, meV/atom: 0
Crystal system: tetragonal

Unit cell a=4.4680 b=4.4680 c=6.2734 alpha=90.00 beta=90.00 gamma=90.00
With the nearest neighbours (Å) after each atom.
Fractional coordinates of all 4 atoms:
Tl 0.0000 0.0000 0.0000  2 Cd 3.14, 4 Cl 3.16
Tl 0.5000 0.5000 0.5000  2 Cl 3.14, 4 Cd 3.16
Cd 0.0000 0.0000 0.5000  6 Tl 3.14-3.16
Cl 0.5000 0.5000 0.0000  6 Tl 3.14-3.16

---

## RbTlH2 (PBE)

Data for crystalline RbTlH2 at its relaxed geometry.

Results
M_tot, μB per atom: 0.000
Relative energy among the computed polymorphs, meV/atom: 172
Crystal system: trigonal

Unit cell a=3.7228 b=3.7228 c=22.0036 alpha=90.00 beta=90.00 gamma=120.00
With the nearest neighbours (Å) after each atom.
Fractional coordinates of all 12 atoms:
Rb 0.0000 0.0000 0.0000  6 H 2.69
Rb 0.3333 0.6667 0.6667  6 H 2.69
Rb 0.6667 0.3333 0.3333  6 H 2.69
Tl 0.0000 0.0000 0.5000  2 H 2.05
Tl 0.3333 0.6667 0.1667  2 H 2.05
Tl 0.6667 0.3333 0.8333  2 H 2.05
H 0.0000 0.0000 0.4070  1 Tl 2.05
H 0.0000 0.0000 0.5930  1 Tl 2.05
H 0.3333 0.6667 0.0736  1 Tl 2.05
H 0.3333 0.6667 0.2597  1 Tl 2.05
H 0.6667 0.3333 0.7403  1 Tl 2.05
H 0.6667 0.3333 0.9264  1 Tl 2.05

---

## YScCoOs2 (PBE)

Data for crystalline YScCoOs2 at its relaxed geometry.

Results
M_tot, μB per atom: 0.369
Energy of formation, eV per atom: 1.070
Crystal system: tetragonal

Unit cell a=4.7579 b=4.7579 c=4.4036 alpha=90.00 beta=90.00 gamma=90.00
With the nearest neighbours (Å) after each atom.
Fractional coordinates of all 5 atoms:
Y 0.0000 0.0000 0.0000  8 Os 3.24, 4 Co 3.36
Sc 0.5000 0.5000 0.5000  2 Co 2.20, 4 Os 2.38
Co 0.5000 0.5000 0.0000  2 Sc 2.20
Os 0.0000 0.5000 0.5000  2 Sc 2.38
Os 0.5000 0.0000 0.5000  2 Sc 2.38

---

## MgNp2Ir9 (PBE)

Data for crystalline MgNp2Ir9 at its relaxed geometry.

Results
M_tot, μB per atom: 0.188
Energy of formation, eV per atom: -0.309
Crystal system: tetragonal

Unit cell a=4.0085 b=4.0085 c=11.9122 alpha=90.00 beta=90.00 gamma=90.00
With the nearest neighbours (Å) after each atom.
Fractional coordinates of all 12 atoms:
Mg 0.0000 0.0000 0.0000  12 Ir 2.79-2.83
Np 0.0000 0.0000 0.3269  12 Ir 2.80-2.88
Np 0.0000 0.0000 0.6731  12 Ir 2.80-2.88
Ir 0.0000 0.5000 0.1631  2 Mg 2.79, 8 Ir 2.79-2.84, 2 Np 2.80
Ir 0.0000 0.5000 0.5000  8 Ir 2.83, 4 Np 2.88
Ir 0.0000 0.5000 0.8369  2 Mg 2.79, 8 Ir 2.79-2.84, 2 Np 2.80
Ir 0.5000 0.0000 0.1631  2 Mg 2.79, 8 Ir 2.79-2.84, 2 Np 2.80
Ir 0.5000 0.0000 0.5000  8 Ir 2.83, 4 Np 2.88
Ir 0.5000 0.0000 0.8369  2 Mg 2.79, 8 Ir 2.79-2.84, 2 Np 2.80
Ir 0.5000 0.5000 0.0000  8 Ir 2.79, 4 Mg 2.83
Ir 0.5000 0.5000 0.3318  8 Ir 2.83-2.84, 4 Np 2.83
Ir 0.5000 0.5000 0.6682  8 Ir 2.83-2.84, 4 Np 2.83

---

## LaYMg2H (PBE)

Data for crystalline LaYMg2H at its relaxed geometry.

Results
M_tot, μB per atom: 0.000
VASP energy, eV per atom: -3.70
Crystal system: tetragonal

Unit cell a=5.1389 b=5.1389 c=4.5151 alpha=90.00 beta=90.00 gamma=90.00
With the nearest neighbours (Å) after each atom.
Fractional coordinates of all 5 atoms:
La 0.0000 0.0000 0.0000  2 H 2.26
Y 0.5000 0.5000 0.0000  8 Mg 3.42, 4 La 3.63
Mg 0.0000 0.5000 0.5000  2 H 2.57
Mg 0.5000 0.0000 0.5000  2 H 2.57
H 0.0000 0.0000 0.5000  2 La 2.26

---

## MgBeSeBr2 (PBE)

Data for crystalline MgBeSeBr2 at its relaxed geometry.

Results
E_form (uncorrected), eV per atom: -0.342
M_tot, μB per atom: 0.000
Relative energy among the computed polymorphs, meV/atom: 0
Crystal system: tetragonal

Unit cell a=4.6166 b=4.6166 c=5.2943 alpha=90.00 beta=90.00 gamma=90.00
With the nearest neighbours (Å) after each atom.
Fractional coordinates of all 5 atoms:
Mg 0.0000 0.0000 0.0000  4 Se 3.26, 8 Br 3.51
Be 0.5000 0.5000 0.5000  4 Br 2.31
Se 0.5000 0.5000 0.0000  2 Be 2.65
Br 0.0000 0.5000 0.5000  2 Be 2.31
Br 0.5000 0.0000 0.5000  2 Be 2.31

---

## FeWSe (PBE)

Data for crystalline FeWSe at its relaxed geometry.

Results
E_form (uncorrected), eV per atom: 0.598
M_tot, μB per atom: 0.364
Relative energy among the computed polymorphs, meV/atom: 270
Crystal system: cubic

Unit cell a=5.8881 b=5.8881 c=5.8881 alpha=90.00 beta=90.00 gamma=90.00
With the nearest neighbours (Å) after each atom.
Fractional coordinates of all 12 atoms:
Fe 0.0000 0.0000 0.0000  4 W 2.55
Fe 0.0000 0.5000 0.5000  4 W 2.55
Fe 0.5000 0.0000 0.5000  4 W 2.55
Fe 0.5000 0.5000 0.0000  4 W 2.55
W 0.2500 0.2500 0.7500  4 Fe 2.55, 4 Se 2.55
W 0.2500 0.7500 0.2500  4 Se 2.55, 4 Fe 2.55
W 0.7500 0.2500 0.2500  4 Se 2.55, 4 Fe 2.55
W 0.7500 0.7500 0.7500  4 Fe 2.55, 4 Se 2.55
Se 0.0000 0.0000 0.5000  4 W 2.55
Se 0.0000 0.5000 0.0000  4 W 2.55
Se 0.5000 0.0000 0.0000  4 W 2.55
Se 0.5000 0.5000 0.5000  4 W 2.55

---

## YMn2Ga2C (PBE)

Data for crystalline YMn2Ga2C at its relaxed geometry.

Results
M_tot, μB per atom: 0.305
Energy of formation, eV per atom: -0.369
Crystal system: tetragonal

Unit cell a=3.9057 b=3.9057 c=5.5838 alpha=90.00 beta=90.00 gamma=90.00
With the nearest neighbours (Å) after each atom.
Fractional coordinates of all 6 atoms:
Y 0.0000 0.0000 0.0000  2 C 2.79, 8 Ga 3.03
Mn 0.0000 0.5000 0.5000  2 C 1.95
Mn 0.5000 0.0000 0.5000  2 C 1.95
Ga 0.5000 0.5000 0.2241  4 Mn 2.49, 1 Ga 2.50
Ga 0.5000 0.5000 0.7759  4 Mn 2.49, 1 Ga 2.50
C 0.0000 0.0000 0.5000  4 Mn 1.95

---

## Ba2AlIr (PBE)

Data for crystalline Ba2AlIr at its relaxed geometry.

Results
M_tot, μB per atom: 0.000
Energy of formation, eV per atom: 0.294
Crystal system: monoclinic

Unit cell a=7.6506 b=4.3939 c=9.1974 alpha=90.00 beta=105.83 gamma=90.00
With the nearest neighbours (Å) after each atom.
Fractional coordinates of all 8 atoms:
Ba 0.2319 0.0000 0.1963  3 Ir 3.08
Ba 0.2681 0.5000 0.8037  3 Ir 3.08
Ba 0.7319 0.5000 0.1963  3 Ir 3.08
Ba 0.7681 0.0000 0.8037  3 Ir 3.08
Al 0.0000 0.0000 0.5000  6 Ba 3.70
Al 0.5000 0.5000 0.5000  6 Ba 3.70
Ir 0.0000 0.5000 0.0000  6 Ba 3.08
Ir 0.5000 0.0000 0.0000  6 Ba 3.08

---

## AgAsSeBr2 (PBE)

Data for crystalline AgAsSeBr2 at its relaxed geometry.

Results
E_form (uncorrected), eV per atom: 0.185
M_tot, μB per atom: 0.000
Relative energy among the computed polymorphs, meV/atom: 0
Crystal system: tetragonal

Unit cell a=5.3631 b=5.3631 c=5.0204 alpha=90.00 beta=90.00 gamma=90.00
With the nearest neighbours (Å) after each atom.
Fractional coordinates of all 5 atoms:
Ag 0.0000 0.0000 0.0000  8 Br 3.67, 4 Se 3.79
As 0.5000 0.5000 0.5000  2 Se 2.51, 4 Br 2.68
Se 0.5000 0.5000 0.0000  2 As 2.51
Br 0.0000 0.5000 0.5000  2 As 2.68
Br 0.5000 0.0000 0.5000  2 As 2.68

---

## RbGe2Rh (PBE)

Data for crystalline RbGe2Rh at its relaxed geometry.

Results
M_tot, μB per atom: 0.000
Energy of formation, eV per atom: -0.152
Relative energy among the computed polymorphs, meV/atom: 67
Crystal system: tetragonal

Unit cell a=3.3092 b=3.3092 c=7.9498 alpha=90.00 beta=90.00 gamma=90.00
With the nearest neighbours (Å) after each atom.
Fractional coordinates of all 4 atoms:
Rb 0.0000 0.0000 0.0000  4 Rb 3.31, 8 Ge 3.54
Ge 0.5000 0.5000 0.3337  1 Ge 2.64, 4 Rh 2.69
Ge 0.5000 0.5000 0.6663  1 Ge 2.64, 4 Rh 2.69
Rh 0.0000 0.0000 0.5000  8 Ge 2.69